Entry 1:
# YThAgIr, optimized geometry, DFT PBE-GGA
data_YThAgIr
_chemical_formula_sum 'Y1 Th1 Ag1 Ir1'
_cell_length_a 5.092
_cell_length_b 5.092
_cell_length_c 5.092
_cell_angle_alpha 60.00
_cell_angle_beta 60.00
_cell_angle_gamma 60.00
_symmetry_space_group_name_H-M 'P 1'
_symmetry_Int_Tables_number 1
loop_
_symmetry_equiv_pos_as_xyz
'x,y,z'
loop_
_atom_site_label
_atom_site_type_symbol
_atom_site_fract_x
_atom_site_fract_y
_atom_site_fract_z
Ir1 Ir 0.500 0.500 0.500
Th1 Th 0.250 0.250 0.250
Ag1 Ag 0.000 0.000 0.000
Y1 Y 0.750 0.750 0.750
# Energy relative to the elements (eV per formula unit): -1.95

***

Entry 2:
# Cs6Y3I14, optimized geometry, DFT PBE-GGA
data_Cs6Y3I14
_chemical_formula_sum 'Cs6 Y3 I14'
_cell_length_a 7.619
_cell_length_b 13.983
_cell_length_c 13.983
_cell_angle_alpha 120.00
_cell_angle_beta 90.00
_cell_angle_gamma 90.00
_symmetry_space_group_name_H-M 'P 1'
_symmetry_Int_Tables_number 1
loop_
_symmetry_equiv_pos_as_xyz
'x,y,z'
loop_
_atom_site_label
_atom_site_type_symbol
_atom_site_fract_x
_atom_site_fract_y
_atom_site_fract_z
I1 I 0.962 0.149 0.925
I2 I 0.471 0.557 0.812
I3 I 0.269 0.530 0.124
I4 I 0.269 0.594 0.470
I5 I 0.445 0.000 0.000
I6 I 0.962 0.075 0.223
I7 I 0.715 0.741 0.198
I8 I 0.471 0.255 0.443
I9 I 0.269 0.876 0.406
I10 I 0.715 0.802 0.542
I11 I 0.471 0.188 0.745
I12 I 0.715 0.458 0.259
I13 I 0.956 0.333 0.667
I14 I 0.962 0.777 0.851
Y1 Y 0.491 0.667 0.333
Y2 Y 0.341 0.333 0.667
Y3 Y 0.829 0.000 0.000
Cs1 Cs 0.249 0.306 0.207
Cs2 Cs 0.249 0.902 0.694
Cs3 Cs 0.249 0.793 0.098
Cs4 Cs 0.761 0.539 0.564
Cs5 Cs 0.761 0.025 0.461
Cs6 Cs 0.761 0.436 0.975
# E_form (uncorrected) (meV per atom): -1417

***

Entry 3:
# LaMn2C2, optimized geometry, DFT PBE-GGA
data_LaMn2C2
_chemical_formula_sum 'La1 Mn2 C2'
_cell_length_a 3.468
_cell_length_b 3.468
_cell_length_c 5.908
_cell_angle_alpha 107.07
_cell_angle_beta 107.07
_cell_angle_gamma 90.00
_symmetry_space_group_name_H-M 'P 1'
_symmetry_Int_Tables_number 1
loop_
_symmetry_equiv_pos_as_xyz
'x,y,z'
loop_
_atom_site_label
_atom_site_type_symbol
_atom_site_fract_x
_atom_site_fract_y
_atom_site_fract_z
Mn1 Mn 0.750 0.250 0.500
Mn2 Mn 0.250 0.750 0.500
La1 La 0.000 0.000 0.000
C1 C 0.338 0.338 0.677
C2 C 0.662 0.662 0.323
# Energy relative to the elements (eV per formula unit): -0.97

***

Entry 4:
# Ca2Zn4GaSi3, optimized geometry, DFT PBE-GGA
data_Ca2Zn4GaSi3
_chemical_formula_sum 'Ca2 Zn4 Ga1 Si3'
_cell_length_a 4.167
_cell_length_b 4.167
_cell_length_c 10.658
_cell_angle_alpha 90.00
_cell_angle_beta 90.00
_cell_angle_gamma 90.00
_symmetry_space_group_name_H-M 'P 1'
_symmetry_Int_Tables_number 1
loop_
_symmetry_equiv_pos_as_xyz
'x,y,z'
loop_
_atom_site_label
_atom_site_type_symbol
_atom_site_fract_x
_atom_site_fract_y
_atom_site_fract_z
Zn1 Zn 0.000 0.000 0.000
Zn2 Zn 0.500 0.000 0.639
Zn3 Zn 0.500 0.500 0.000
Zn4 Zn 0.000 0.500 0.361
Si1 Si 0.500 0.000 0.864
Si2 Si 0.000 0.500 0.136
Si3 Si 0.000 0.000 0.500
Ga1 Ga 0.500 0.500 0.500
Ca1 Ca 0.500 0.000 0.247
Ca2 Ca 0.000 0.500 0.753
# E_form (uncorrected) (meV per atom): -299

***

Entry 5:
# RbNaThBr6, optimized geometry, DFT PBE-GGA
data_RbNaThBr6
_chemical_formula_sum 'Rb2 Na2 Th2 Br12'
_cell_length_a 7.669
_cell_length_b 7.669
_cell_length_c 15.062
_cell_angle_alpha 90.00
_cell_angle_beta 90.00
_cell_angle_gamma 120.00
_symmetry_space_group_name_H-M 'P 1'
_symmetry_Int_Tables_number 1
loop_
_symmetry_equiv_pos_as_xyz
'x,y,z'
loop_
_atom_site_label
_atom_site_type_symbol
_atom_site_fract_x
_atom_site_fract_y
_atom_site_fract_z
Th1 Th 0.667 0.333 0.250
Th2 Th 0.333 0.667 0.750
Br1 Br 0.984 0.624 0.359
Br2 Br 0.016 0.376 0.641
Br3 Br 0.640 0.016 0.359
Br4 Br 0.376 0.016 0.141
Br5 Br 0.016 0.640 0.859
Br6 Br 0.624 0.640 0.641
Br7 Br 0.376 0.360 0.359
Br8 Br 0.360 0.376 0.859
Br9 Br 0.640 0.624 0.141
Br10 Br 0.984 0.360 0.141
Br11 Br 0.360 0.984 0.641
Br12 Br 0.624 0.984 0.859
Rb1 Rb 0.000 0.000 0.500
Rb2 Rb 0.000 0.000 0.000
Na1 Na 0.667 0.333 0.750
Na2 Na 0.333 0.667 0.250
# E_form (uncorrected) (meV per atom): -1738

***

Entry 6:
# Pr2Al3GaAg4, optimized geometry, DFT PBE-GGA
data_Pr2Al3GaAg4
_chemical_formula_sum 'Pr2 Al3 Ga1 Ag4'
_cell_length_a 4.430
_cell_length_b 4.430
_cell_length_c 10.788
_cell_angle_alpha 90.00
_cell_angle_beta 90.00
_cell_angle_gamma 90.00
_symmetry_space_group_name_H-M 'P 1'
_symmetry_Int_Tables_number 1
loop_
_symmetry_equiv_pos_as_xyz
'x,y,z'
loop_
_atom_site_label
_atom_site_type_symbol
_atom_site_fract_x
_atom_site_fract_y
_atom_site_fract_z
Ag1 Ag 0.500 0.500 0.000
Ag2 Ag 0.000 0.000 0.000
Ag3 Ag 0.500 0.000 0.633
Ag4 Ag 0.000 0.500 0.367
Al1 Al 0.500 0.000 0.867
Al2 Al 0.000 0.500 0.133
Al3 Al 0.000 0.000 0.500
Pr1 Pr 0.500 0.000 0.251
Pr2 Pr 0.000 0.500 0.749
Ga1 Ga 0.500 0.500 0.500
# Energy relative to the elements (eV per formula unit): -3.44

***

Entry 7:
# La3Nd2Ho8, optimized geometry, DFT PBE-GGA
data_La3Nd2Ho8
_chemical_formula_sum 'La3 Nd2 Ho8'
_cell_length_a 5.649
_cell_length_b 7.732
_cell_length_c 10.975
_cell_angle_alpha 110.62
_cell_angle_beta 90.04
_cell_angle_gamma 90.00
_symmetry_space_group_name_H-M 'P 1'
_symmetry_Int_Tables_number 1
loop_
_symmetry_equiv_pos_as_xyz
'x,y,z'
loop_
_atom_site_label
_atom_site_type_symbol
_atom_site_fract_x
_atom_site_fract_y
_atom_site_fract_z
Ho1 Ho 0.500 0.818 0.217
Ho2 Ho 0.999 0.134 0.268
Ho3 Ho 0.999 0.333 0.665
Ho4 Ho 0.001 0.866 0.732
Ho5 Ho 0.001 0.667 0.335
Ho6 Ho 0.500 0.182 0.783
Ho7 Ho 0.500 0.600 0.783
Ho8 Ho 0.500 0.400 0.217
La1 La 0.000 0.300 0.000
La2 La 0.500 0.000 0.000
La3 La 0.000 0.700 0.000
Nd1 Nd 0.501 0.759 0.518
Nd2 Nd 0.499 0.241 0.482
# Energy relative to the elements (eV per formula unit): 3.32

***

Entry 8:
# InTcO2, optimized geometry, DFT PBE-GGA
data_InTcO2
_chemical_formula_sum 'In2 Tc2 O4'
_cell_length_a 5.264
_cell_length_b 5.264
_cell_length_c 6.369
_cell_angle_alpha 65.59
_cell_angle_beta 65.59
_cell_angle_gamma 90.00
_symmetry_space_group_name_H-M 'P 1'
_symmetry_Int_Tables_number 1
loop_
_symmetry_equiv_pos_as_xyz
'x,y,z'
loop_
_atom_site_label
_atom_site_type_symbol
_atom_site_fract_x
_atom_site_fract_y
_atom_site_fract_z
O1 O 0.270 0.625 0.250
O2 O 0.875 0.730 0.750
O3 O 0.480 0.125 0.250
O4 O 0.375 0.520 0.750
In1 In 0.750 0.250 0.500
In2 In 0.000 0.000 0.000
Tc1 Tc 0.500 0.500 0.000
Tc2 Tc 0.250 0.750 0.500
# E_form (uncorrected) (meV per atom): -628

***

Entry 9:
# SrScPt2, optimized geometry, DFT PBE-GGA
data_SrScPt2
_chemical_formula_sum 'Sr1 Sc1 Pt2'
_cell_length_a 3.845
_cell_length_b 3.845
_cell_length_c 6.386
_cell_angle_alpha 90.00
_cell_angle_beta 90.00
_cell_angle_gamma 89.98
_symmetry_space_group_name_H-M 'P 1'
_symmetry_Int_Tables_number 1
loop_
_symmetry_equiv_pos_as_xyz
'x,y,z'
loop_
_atom_site_label
_atom_site_type_symbol
_atom_site_fract_x
_atom_site_fract_y
_atom_site_fract_z
Pt1 Pt 0.000 0.000 0.998
Pt2 Pt 0.500 0.500 0.306
Sr1 Sr 0.500 0.500 0.802
Sc1 Sc 0.000 0.000 0.394
# Energy relative to the elements (eV per formula unit): -2.53

***

Entry 10:
# ZrScCo2Ir, optimized geometry, DFT PBE-GGA
data_ZrScCo2Ir
_chemical_formula_sum 'Zr1 Sc1 Co2 Ir1'
_cell_length_a 4.202
_cell_length_b 4.966
_cell_length_c 4.202
_cell_angle_alpha 90.00
_cell_angle_beta 90.00
_cell_angle_gamma 90.00
_symmetry_space_group_name_H-M 'P 1'
_symmetry_Int_Tables_number 1
loop_
_symmetry_equiv_pos_as_xyz
'x,y,z'
loop_
_atom_site_label
_atom_site_type_symbol
_atom_site_fract_x
_atom_site_fract_y
_atom_site_fract_z
Co1 Co 0.000 0.000 0.500
Co2 Co 0.500 0.000 0.000
Sc1 Sc 0.000 0.000 0.000
Zr1 Zr 0.000 0.500 0.000
Ir1 Ir 0.500 0.500 0.500
# Energy relative to the elements (eV per formula unit): 6.11

***

Entry 11:
# La3ScV, optimized geometry, DFT PBE-GGA
data_La3ScV
_chemical_formula_sum 'La3 Sc1 V1'
_cell_length_a 5.470
_cell_length_b 5.470
_cell_length_c 5.470
_cell_angle_alpha 90.00
_cell_angle_beta 90.00
_cell_angle_gamma 90.00
_symmetry_space_group_name_H-M 'P 1'
_symmetry_Int_Tables_number 1
loop_
_symmetry_equiv_pos_as_xyz
'x,y,z'
loop_
_atom_site_label
_atom_site_type_symbol
_atom_site_fract_x
_atom_site_fract_y
_atom_site_fract_z
V1 V 0.000 0.000 0.000
La1 La 0.000 0.000 0.500
La2 La 0.000 0.500 0.000
La3 La 0.500 0.000 0.000
Sc1 Sc 0.500 0.500 0.500
# Energy relative to the elements (eV per formula unit): 2.42

***

Entry 12:
# BaIn7Hg12, optimized geometry, DFT PBE-GGA
data_BaIn7Hg12
_chemical_formula_sum 'Ba1 In7 Hg12'
_cell_length_a 9.450
_cell_length_b 9.450
_cell_length_c 9.450
_cell_angle_alpha 109.47
_cell_angle_beta 109.47
_cell_angle_gamma 109.47
_symmetry_space_group_name_H-M 'P 1'
_symmetry_Int_Tables_number 1
loop_
_symmetry_equiv_pos_as_xyz
'x,y,z'
loop_
_atom_site_label
_atom_site_type_symbol
_atom_site_fract_x
_atom_site_fract_y
_atom_site_fract_z
In1 In 0.500 0.500 0.500
In2 In 0.500 0.000 0.000
In3 In 0.000 0.500 0.000
In4 In 0.500 0.000 0.500
In5 In 0.000 0.500 0.500
In6 In 0.500 0.500 0.000
In7 In 0.000 0.000 0.500
Hg1 Hg 0.808 0.116 0.308
Hg2 Hg 0.884 0.692 0.192
Hg3 Hg 0.692 0.192 0.884
Hg4 Hg 0.500 0.308 0.192
Hg5 Hg 0.116 0.308 0.808
Hg6 Hg 0.308 0.192 0.500
Hg7 Hg 0.692 0.808 0.500
Hg8 Hg 0.500 0.692 0.808
Hg9 Hg 0.808 0.500 0.692
Hg10 Hg 0.308 0.808 0.116
Hg11 Hg 0.192 0.500 0.308
Hg12 Hg 0.192 0.884 0.692
Ba1 Ba 0.000 0.000 0.000
# Energy relative to the elements (eV per formula unit): 0.79

***

What is the formula in the eighth record? InTcO2

***

Copy entry 11 word for word.
# La3ScV, optimized geometry, DFT PBE-GGA
data_La3ScV
_chemical_formula_sum 'La3 Sc1 V1'
_cell_length_a 5.470
_cell_length_b 5.470
_cell_length_c 5.470
_cell_angle_alpha 90.00
_cell_angle_beta 90.00
_cell_angle_gamma 90.00
_symmetry_space_group_name_H-M 'P 1'
_symmetry_Int_Tables_number 1
loop_
_symmetry_equiv_pos_as_xyz
'x,y,z'
loop_
_atom_site_label
_atom_site_type_symbol
_atom_site_fract_x
_atom_site_fract_y
_atom_site_fract_z
V1 V 0.000 0.000 0.000
La1 La 0.000 0.000 0.500
La2 La 0.000 0.500 0.000
La3 La 0.500 0.000 0.000
Sc1 Sc 0.500 0.500 0.500
# Energy relative to the elements (eV per formula unit): 2.42